[1]
VASP calculation (GGA-PBE) on an optimized crystal structure of SrCa2TlAs.

abc: 5.597 5.597 6.012
angles: 90.00 90.00 90.00
Space group P4/mmm (No. 123)
Symmetry-distinct sites (fractional):
Sr: 0.000 0.000 0.000 (multiplicity 1)
Ca: 0.000 0.500 0.500 (multiplicity 2)
Tl: 0.500 0.500 0.000 (multiplicity 1)
As: 0.000 0.000 0.500 (multiplicity 1)

Output
ΔH_f (0 K): -0.583 eV/atom
DOS(E_F): 4.7 states/eV/cell


[2]
VASP calculation (GGA-PBE) on an optimized crystal structure of SrCa2UAs4.

abc: 7.246 4.298 7.395
angles: 90.00 109.79 90.00
Space group P2/m (No. 10)
Symmetry-distinct sites (fractional):
Sr: 0.000 0.000 0.000 (multiplicity 1)
Ca: 0.500 0.000 0.500 (multiplicity 1)
Ca: 0.500 0.500 0.000 (multiplicity 1)
U: 0.000 0.500 0.500 (multiplicity 1)
As: 0.227 0.000 0.720 (multiplicity 2)
As: 0.237 0.500 0.280 (multiplicity 2)

Output
ΔH_f (0 K): -0.996 eV/atom
DOS(E_F): 1.5 states/eV/cell


[3]
VASP calculation (GGA-PBE) on an optimized crystal structure of Ca2TaAs2.

abc: 8.347 8.347 3.245
angles: 90.00 90.00 90.00
Space group P4/mbm (No. 127)
Symmetry-distinct sites (fractional):
Ca: 0.129 0.371 0.000 (multiplicity 4)
Ta: 0.000 0.000 0.000 (multiplicity 2)
As: 0.176 0.676 0.500 (multiplicity 4)

Output
offset from the most stable computed form: 697.9 meV per atom
ΔH_f (0 K): 0.086 eV/atom
DOS(E_F): 6.5 states/eV/cell


[4]
VASP calculation (GGA-PBE) on an optimized crystal structure of CaTa3As.

abc: 4.773 4.773 4.773
angles: 90.00 90.00 90.00
Space group Pm-3m (No. 221)
Symmetry-distinct sites (fractional):
Ca: 0.000 0.000 0.000 (multiplicity 1)
Ta: 0.000 0.000 0.500 (multiplicity 3)
As: 0.500 0.500 0.500 (multiplicity 1)

Output
offset from the most stable computed form: 1822.4 meV per atom
ΔH_f (0 K): 2.581 eV/atom
DOS(E_F): 5.4 states/eV/cell


[5]
VASP calculation (GGA-PBE) on an optimized crystal structure of CaTaAs4.

abc: 7.897 7.897 7.897
angles: 90.00 90.00 90.00
Space group F-43m (No. 216)
Symmetry-distinct sites (fractional):
Ca: 0.000 0.000 0.000 (multiplicity 4)
Ta: 0.250 0.250 0.750 (multiplicity 4)
As: 0.123 0.123 0.377 (multiplicity 16)

Output
ΔH_f (0 K): 0.336 eV/atom
DOS(E_F): 16.0 states/eV/cell


[6]
VASP calculation (GGA-PBE) on an optimized crystal structure of Ca2TaAs2.

abc: 7.164 7.164 4.330
angles: 90.00 90.00 90.00
Space group P4/mbm (No. 127)
Symmetry-distinct sites (fractional):
Ca: 0.158 0.342 0.000 (multiplicity 4)
Ta: 0.000 0.000 0.500 (multiplicity 2)
As: 0.159 0.659 0.500 (multiplicity 4)

Output
offset from the most stable computed form: 0.0 meV per atom
ΔH_f (0 K): -0.612 eV/atom
DOS(E_F): 5.4 states/eV/cell